A PBEsol-optimized structure of ScReNi2, computed with SCAN.

Computed properties:
Offset from the most stable computed form, eV per atom: 0.000
E_form, eV/atom: -0.086

Cell: 4.8450 4.8450 4.5118 Å, 106.75 106.75 31.85°
With the nearest neighbours (Å) after each atom.
Atoms (fractional coordinates):
Sc 0.0000 0.0000 0.0000  7 Ni 2.54-2.67, 2 Sc 2.66
Re 0.7781 0.7781 0.3715  7 Ni 2.57-2.67, 2 Re 2.66
Ni 0.2390 0.2390 0.8394  4 Ni 2.49-2.66, 3 Sc 2.54-2.67, 4 Re 2.61-2.67
Ni 0.5256 0.5256 0.5070  4 Ni 2.49-2.66, 3 Re 2.57-2.60, 4 Sc 2.59-2.66

---

A PBEsol-optimized structure of ScReNi2, computed with SCAN.

Computed properties:
Offset from the most stable computed form, eV per atom: 0.004
E_form, eV/atom: -0.082

Cell: 4.4336 4.4336 2.7236 Å, 90.00 90.00 90.00°
With the nearest neighbours (Å) after each atom.
Atoms (fractional coordinates):
Sc 0.0000 0.0000 0.0000  8 Ni 2.60, 2 Sc 2.72
Re 0.5000 0.5000 0.0000  8 Ni 2.60, 2 Re 2.72
Ni 0.0000 0.5000 0.5000  4 Re 2.60, 4 Sc 2.60, 2 Ni 2.72
Ni 0.5000 0.0000 0.5000  4 Re 2.60, 4 Sc 2.60, 2 Ni 2.72

---

A PBEsol-optimized structure of Sc2ReNi, computed with SCAN.

Computed properties:
E_form, eV/atom: -0.128

Cell: 5.2952 5.2952 4.7424 Å, 111.94 111.94 32.27°
With the nearest neighbours (Å) after each atom.
Atoms (fractional coordinates):
Sc 0.0000 0.0000 0.0000  3 Ni 2.72-2.92, 4 Re 2.82-2.87, 3 Sc 2.94
Sc 0.2064 0.2064 0.6382  2 Ni 2.63, 3 Re 2.83-2.90, 3 Sc 2.94
Re 0.4411 0.4411 0.4580  2 Ni 2.52, 2 Sc 2.82
Ni 0.7404 0.7404 0.1220  2 Re 2.52, 4 Sc 2.63-2.72

---

A PBEsol-optimized structure of Sc2ReNi, computed with SCAN.

Computed properties:
E_form, eV/atom: -0.020

Cell: 5.1663 5.1663 5.1663 Å, 136.63 136.63 63.01°
With the nearest neighbours (Å) after each atom.
Atoms (fractional coordinates):
Sc 0.0000 0.0000 0.0000  4 Ni 2.70, 4 Sc 2.91, 4 Re 2.91
Sc 0.7500 0.2500 0.5000  4 Re 2.70, 4 Ni 2.91, 4 Sc 2.91
Re 0.2500 0.7500 0.5000  8 Sc 2.70-2.91, 4 Ni 2.91
Ni 0.5000 0.5000 0.0000  8 Sc 2.70-2.91, 4 Re 2.91

---

A PBEsol-optimized structure of Sc2ReNi2, computed with SCAN.

Computed properties:
E_form, eV/atom: 0.037

Cell: 7.9454 7.9454 7.9454 Å, 156.61 156.61 33.32°
With the nearest neighbours (Å) after each atom.
Atoms (fractional coordinates):
Sc 0.1056 0.1056 0.0000  4 Ni 2.73, 4 Re 2.79
Sc 0.8944 0.8944 0.0000  4 Ni 2.73, 4 Re 2.79
Re 0.5000 0.5000 0.0000  8 Sc 2.79
Ni 0.2500 0.7500 0.5000  4 Ni 2.28
Ni 0.7500 0.2500 0.5000  4 Ni 2.28

---

A PBEsol-optimized structure of Re2NiSe, computed with SCAN.

Computed properties:
E_tot, eV per atom: -44.026

Cell: 8.2778 8.2778 8.2778 Å, 19.61 19.61 19.61°
With the nearest neighbours (Å) after each atom.
Atoms (fractional coordinates):
Re 0.2490 0.2490 0.2490  3 Ni 2.58, 3 Se 2.62, 6 Re 2.82
Re 0.7510 0.7510 0.7510  3 Ni 2.58, 3 Se 2.62, 6 Re 2.82
Ni 0.5000 0.5000 0.5000  6 Re 2.58, 6 Ni 2.82
Se 0.0000 0.0000 0.0000  6 Re 2.62, 6 Se 2.82

---

M_tot / μB/f.u.: 0.0 1.3 0.0 0.0 0.3 0.0
Mass density / g/cm³: 10.856 10.811 8.501 8.660 8.270 15.154
DOS at the Fermi energy / states/eV/cell: 3.4 3.6 3.6 4.1 3.9 3.9